Entry 1:
# HgRhSeN2 PBE-GGA optimized geometry
data_HgRhSeN2
_cell_length_a 3.857
_cell_length_b 3.857
_cell_length_c 5.661
_cell_angle_alpha 90.00
_cell_angle_beta 90.00
_cell_angle_gamma 90.00
_space_group_name_H-M_alt 'P 4/m m m'
_space_group_IT_number 123
_space_group_name_Hall '-P 4 2'
loop_
_atom_site_label
_atom_site_fract_x
_atom_site_fract_y
_atom_site_fract_z
_atom_site_occupancy
Hg1 0.000 0.000 0.000 1
Rh1 0.500 0.500 0.500 1
Se1 0.500 0.500 0.000 1
N1 0.000 0.500 0.500 1
# Distance to the lowest polymorph of the same formula (kcal/mol of atoms): 0.00

---

Entry 2:
Material: Sr2HgRhN
Method: DFT, PBE-GGA
State: optimized geometry

CIF file:
```
data_Sr2HgRhN
_cell_length_a 5.491
_cell_length_b 5.491
_cell_length_c 3.859
_cell_angle_alpha 90.00
_cell_angle_beta 90.00
_cell_angle_gamma 90.00
_space_group_name_H-M_alt 'P 4/m m m'
_space_group_IT_number 123
_space_group_name_Hall '-P 4 2'
loop_
_atom_site_label
_atom_site_fract_x
_atom_site_fract_y
_atom_site_fract_z
_atom_site_occupancy
Sr1 0.000 0.500 0.000 1
Hg1 0.000 0.000 0.500 1
Rh1 0.500 0.500 0.500 1
N1 0.500 0.500 0.000 1
```

---

Entry 3:
Material: Sr6Hg2RhN
Method: DFT, PBE-GGA
State: optimized geometry

CIF file:
```
data_Sr6Hg2RhN
_cell_length_a 7.514
_cell_length_b 7.975
_cell_length_c 13.100
_cell_angle_alpha 90.00
_cell_angle_beta 123.47
_cell_angle_gamma 90.00
_space_group_name_H-M_alt 'P 1 21/c 1'
_space_group_IT_number 14
_space_group_name_Hall '-P 2ybc'
loop_
_atom_site_label
_atom_site_fract_x
_atom_site_fract_y
_atom_site_fract_z
_atom_site_occupancy
Sr1 0.148 0.013 0.236 1
Sr2 0.220 0.714 0.041 1
Sr3 0.331 0.185 0.041 1
Hg1 0.286 0.077 0.752 1
Rh1 0.500 0.000 0.500 1
N1 0.000 0.000 0.000 1
```

---

Entry 4:
# HgTeRhN2 PBE-GGA optimized geometry
data_HgTeRhN2
_cell_length_a 4.093
_cell_length_b 4.093
_cell_length_c 6.497
_cell_angle_alpha 90.00
_cell_angle_beta 90.00
_cell_angle_gamma 90.00
_space_group_name_H-M_alt 'P 4/m m m'
_space_group_IT_number 123
_space_group_name_Hall '-P 4 2'
loop_
_atom_site_label
_atom_site_fract_x
_atom_site_fract_y
_atom_site_fract_z
_atom_site_occupancy
Hg1 0.000 0.000 0.000 1
Te1 0.000 0.000 0.500 1
Rh1 0.500 0.500 0.500 1
N1 0.000 0.500 0.000 1
# Distance to the lowest polymorph of the same formula (kcal/mol of atoms): 23.66

---

Entry 5:
# HgTe2RhN PBE-GGA optimized geometry
data_HgTe2RhN
_cell_length_a 5.490
_cell_length_b 5.490
_cell_length_c 5.155
_cell_angle_alpha 90.00
_cell_angle_beta 90.00
_cell_angle_gamma 90.00
_space_group_name_H-M_alt 'P 4/m m m'
_space_group_IT_number 123
_space_group_name_Hall '-P 4 2'
loop_
_atom_site_label
_atom_site_fract_x
_atom_site_fract_y
_atom_site_fract_z
_atom_site_occupancy
Hg1 0.000 0.000 0.000 1
Te1 0.000 0.500 0.000 1
Rh1 0.000 0.000 0.500 1
N1 0.500 0.500 0.500 1
# Distance to the lowest polymorph of the same formula (kcal/mol of atoms): 44.35

---

Entry 6:
# HgTeRhN2 PBE-GGA optimized geometry
data_HgTeRhN2
_cell_length_a 3.960
_cell_length_b 3.960
_cell_length_c 5.793
_cell_angle_alpha 90.00
_cell_angle_beta 90.00
_cell_angle_gamma 90.00
_space_group_name_H-M_alt 'P 4/m m m'
_space_group_IT_number 123
_space_group_name_Hall '-P 4 2'
loop_
_atom_site_label
_atom_site_fract_x
_atom_site_fract_y
_atom_site_fract_z
_atom_site_occupancy
Hg1 0.000 0.000 0.000 1
Te1 0.500 0.500 0.000 1
Rh1 0.500 0.500 0.500 1
N1 0.000 0.500 0.500 1
# Distance to the lowest polymorph of the same formula (kcal/mol of atoms): 0.00

---

Entry 7:
# HgTe2RhN PBE-GGA optimized geometry
data_HgTe2RhN
_cell_length_a 5.656
_cell_length_b 5.656
_cell_length_c 3.942
_cell_angle_alpha 90.00
_cell_angle_beta 90.00
_cell_angle_gamma 90.00
_space_group_name_H-M_alt 'P 4/m m m'
_space_group_IT_number 123
_space_group_name_Hall '-P 4 2'
loop_
_atom_site_label
_atom_site_fract_x
_atom_site_fract_y
_atom_site_fract_z
_atom_site_occupancy
Hg1 0.000 0.000 0.000 1
Te1 0.000 0.500 0.000 1
Rh1 0.500 0.500 0.500 1
N1 0.000 0.000 0.500 1
# Distance to the lowest polymorph of the same formula (kcal/mol of atoms): 27.05

---

Entry 8:
# HgTe2RhN PBE-GGA optimized geometry
data_HgTe2RhN
_cell_length_a 5.630
_cell_length_b 5.630
_cell_length_c 3.645
_cell_angle_alpha 90.00
_cell_angle_beta 90.00
_cell_angle_gamma 90.00
_space_group_name_H-M_alt 'P 4/m m m'
_space_group_IT_number 123
_space_group_name_Hall '-P 4 2'
loop_
_atom_site_label
_atom_site_fract_x
_atom_site_fract_y
_atom_site_fract_z
_atom_site_occupancy
Hg1 0.000 0.000 0.000 1
Te1 0.000 0.500 0.500 1
Rh1 0.500 0.500 0.500 1
N1 0.500 0.500 0.000 1
# Distance to the lowest polymorph of the same formula (kcal/mol of atoms): 0.00

---

Entry 9:
Material: VHgRh2N
Method: DFT, PBE-GGA
State: optimized geometry

CIF file:
```
data_VHgRh2N
_cell_length_a 4.922
_cell_length_b 4.922
_cell_length_c 4.830
_cell_angle_alpha 90.00
_cell_angle_beta 90.00
_cell_angle_gamma 90.00
_space_group_name_H-M_alt 'P 4/m m m'
_space_group_IT_number 123
_space_group_name_Hall '-P 4 2'
loop_
_atom_site_label
_atom_site_fract_x
_atom_site_fract_y
_atom_site_fract_z
_atom_site_occupancy
V1 0.000 0.000 0.000 1
Hg1 0.000 0.000 0.500 1
Rh1 0.000 0.500 0.500 1
N1 0.500 0.500 0.000 1
```

---

Entry 10:
Material: ZnHgRh2N
Method: DFT, PBE-GGA
State: optimized geometry

CIF file:
```
data_ZnHgRh2N
_cell_length_a 4.167
_cell_length_b 4.167
_cell_length_c 4.106
_cell_angle_alpha 90.00
_cell_angle_beta 90.00
_cell_angle_gamma 90.00
_space_group_name_H-M_alt 'P 4/m m m'
_space_group_IT_number 123
_space_group_name_Hall '-P 4 2'
loop_
_atom_site_label
_atom_site_fract_x
_atom_site_fract_y
_atom_site_fract_z
_atom_site_occupancy
Zn1 0.000 0.000 0.000 1
Hg1 0.500 0.500 0.000 1
Rh1 0.000 0.500 0.500 1
N1 0.000 0.000 0.500 1
```

---

Entry 11:
# HgRu2N PBE-GGA optimized geometry
data_HgRu2N
_cell_length_a 6.290
_cell_length_b 6.290
_cell_length_c 6.184
_cell_angle_alpha 90.00
_cell_angle_beta 90.00
_cell_angle_gamma 90.00
_space_group_name_H-M_alt 'I -4 2 d'
_space_group_IT_number 122
_space_group_name_Hall 'I -4 2bw'
loop_
_atom_site_label
_atom_site_fract_x
_atom_site_fract_y
_atom_site_fract_z
_atom_site_occupancy
Hg1 0.000 0.000 0.000 1
Ru1 0.127 0.750 0.625 1
N1 0.000 0.000 0.500 1
# Distance to the lowest polymorph of the same formula (kcal/mol of atoms): 0.00

---

Entry 12:
# HgRu2N PBE-GGA optimized geometry
data_HgRu2N
_cell_length_a 6.129
_cell_length_b 6.129
_cell_length_c 6.129
_cell_angle_alpha 90.00
_cell_angle_beta 90.00
_cell_angle_gamma 90.00
_space_group_name_H-M_alt 'F m -3 m'
_space_group_IT_number 225
_space_group_name_Hall '-F 4 2 3'
loop_
_atom_site_label
_atom_site_fract_x
_atom_site_fract_y
_atom_site_fract_z
_atom_site_occupancy
Hg1 0.000 0.000 0.000 1
Ru1 0.250 0.250 0.250 1
N1 0.000 0.000 0.500 1
# Distance to the lowest polymorph of the same formula (kcal/mol of atoms): 28.35

---

Entry 13:
Material: Hg2Ru2N
Method: DFT, PBE-GGA
State: optimized geometry

CIF file:
```
data_Hg2Ru2N
_cell_length_a 5.550
_cell_length_b 5.550
_cell_length_c 5.274
_cell_angle_alpha 90.00
_cell_angle_beta 90.00
_cell_angle_gamma 90.00
_space_group_name_H-M_alt 'P 4/m b m'
_space_group_IT_number 127
_space_group_name_Hall '-P 4 2ab'
loop_
_atom_site_label
_atom_site_fract_x
_atom_site_fract_y
_atom_site_fract_z
_atom_site_occupancy
Hg1 0.179 0.321 0.000 1
Ru1 0.188 0.688 0.500 1
N1 0.000 0.000 0.500 1
```

---

Number 1: uncorrected formation energy 4.9 eV/f.u.. Number 2: uncorrected formation energy -2.8 eV/f.u.. Number 3: uncorrected formation energy -3.8 eV/f.u.. Number 4: uncorrected formation energy 10.4 eV/f.u.. Number 5: uncorrected formation energy 11.4 eV/f.u.. Number 6: uncorrected formation energy 5.2 eV/f.u.. Number 7: uncorrected formation energy 7.7 eV/f.u.. Number 8: uncorrected formation energy 1.8 eV/f.u.. Number 9: uncorrected formation energy 14.8 eV/f.u.. Number 10: uncorrected formation energy 1.1 eV/f.u.. Number 11: uncorrected formation energy 1.8 eV/f.u.. Number 12: uncorrected formation energy 6.7 eV/f.u.. Number 13: uncorrected formation energy 2.4 eV/f.u..